Density functional theory data (PBE) for a relaxed structure of Sc4AsAuSe2.

Computed properties:
* E_tot: -6.334 eV/atom
* V: 168 Å³/cell
* formation energy from raw total energies: -1.3064 eV per atom
* space group: P2/m (10)

Unit cell a=6.7351 b=3.8390 c=6.8407 alpha=90.00 beta=108.41 gamma=90.00
Atoms (fractional coordinates):
Sc 0.2410 0.0000 0.2441
Sc 0.2440 0.5000 0.7471
Sc 0.7560 0.5000 0.2529
Sc 0.7590 0.0000 0.7559
As 0.0000 0.5000 0.0000
Au 0.5000 0.0000 0.0000
Se 0.0000 0.0000 0.5000
Se 0.5000 0.5000 0.5000

=====

Density functional theory data (PBE) for a relaxed structure of TaReBr.

Computed properties:
* E_tot: -8.132 eV/atom
* distance to the lowest polymorph of the same formula: 27.7 kJ per mole of atoms
* V: 58 Å³/cell
* formation energy from raw total energies: 0.5255 eV per atom
* space group: I4mm (107)

Unit cell a=6.2493 b=6.2493 c=6.2493 alpha=150.69 beta=150.69 gamma=41.93
Atoms (fractional coordinates):
Ta 0.0000 0.0000 0.0000
Re 0.3802 0.3802 0.0000
Br 0.6817 0.6817 0.0000

=====

Density functional theory data (PBE) for a relaxed structure of Ta2TiInH.

Computed properties:
* E_tot: -7.617 eV/atom
* V: 75 Å³/cell
* space group: P4/mmm (123)

Unit cell a=4.0868 b=4.0868 c=4.5173 alpha=90.00 beta=90.00 gamma=90.00
Atoms (fractional coordinates):
Ta 0.0000 0.5000 0.0000
Ta 0.5000 0.0000 0.0000
Ti 0.0000 0.0000 0.5000
In 0.5000 0.5000 0.5000
H 0.0000 0.0000 0.0000

=====

Density functional theory data (PBE) for a relaxed structure of Pr3Tm4Tl.

Computed properties:
* E_tot: -4.401 eV/atom
* V: 252 Å³/cell
* E_form: -0.077 eV/atom
* space group: P4/mmm (123)

Unit cell a=3.6330 b=3.6330 c=19.1276 alpha=90.00 beta=90.00 gamma=90.00
Atoms (fractional coordinates):
Pr 0.0000 0.0000 0.0000
Pr 0.0000 0.0000 0.2633
Pr 0.0000 0.0000 0.7367
Tm 0.5000 0.5000 0.1303
Tm 0.5000 0.5000 0.3936
Tm 0.5000 0.5000 0.6064
Tm 0.5000 0.5000 0.8697
Tl 0.0000 0.0000 0.5000

=====

Q: What is the E_tot in the second record?
A: -8.132 eV/atom

=====

Q: The lowest E_tot belongs to which entry?
A: TaReBr